{
  "formula": "DyHfTl2",
  "functional": "GGA-PBE",
  "state": "relaxed",
  "lattice_angstrom": [[-3.317, -0.164, -0.036], [0.036, -0.005, -3.321], [0.438, -8.873, 0.017]],
  "species": ["Tl", "Tl", "Hf", "Dy"],
  "frac_coords": [[0.000, 0.000, 0.239], [0.000, 0.000, 0.761], [0.500, 0.500, 0.000], [0.500, 0.500, 0.500]],
  "sg": "P4/mmm (123)",
  "dft_energy_ev_per_atom": -4.89
}

{
  "formula": "TaRhW2",
  "functional": "GGA-PBE",
  "state": "relaxed",
  "lattice_angstrom": [[0.000, 3.189, 3.189], [3.189, 0.000, 3.189], [3.189, 3.189, 0.000]],
  "species": ["Rh", "W", "W", "Ta"],
  "frac_coords": [[0.500, 0.500, 0.500], [0.750, 0.750, 0.750], [0.000, 0.000, 0.000], [0.250, 0.250, 0.250]],
  "sg": "F-43m (216)",
  "dft_energy_ev_per_atom": -11.29
}

{
  "formula": "LaRe2Sb",
  "functional": "GGA-PBE",
  "state": "relaxed",
  "lattice_angstrom": [[5.044, -0.025, 0.000], [0.887, 4.966, 0.000], [-2.965, -2.470, 3.248]],
  "species": ["Sb", "Re", "Re", "La"],
  "frac_coords": [[0.500, 0.500, 0.000], [0.250, 0.750, 0.500], [0.000, 0.000, 0.000], [0.750, 0.250, 0.500]],
  "raw_formation_energy_ev_per_fu": 2.84,
  "sg": "I-4m2 (119)"
}

| no. | mass density (Mg/m³) |
| --- | --- |
| 1 | 12.71 |
| 2 | 16.68 |
| 3 | 12.91 |